Record 1
Computed, not measured: a geometry-optimized Pm4IrAu2 structure at the PBE-GGA level of DFT.

Cell lengths 5.4805, 5.4805, 8.2526 Å; angles 109.39, 109.39, 90.00 degrees
Sites, in units of the cell vectors:
1 Ir 0.0000 0.0000 0.0000
2 Au 0.6069 0.6069 0.2138
3 Au 0.3931 0.3931 0.7862
4 Pm 0.8069 0.8069 0.6137
5 Pm 0.1931 0.1931 0.3863
6 Pm 0.0000 0.5000 0.0000
7 Pm 0.5000 0.0000 0.0000

Total DFT energy (no corrections)   -37.4 eV/cell
DOS at the Fermi energy   9.75 states/eV per cell
Energy relative to the elements   -3.03 eV/f.u.
Mass density   8.8 g/cm³
Offset from the most stable computed form   220.4 meV per atom
Volume   218.8 Å³ per cell

=====

Record 2
Computed, not measured: a geometry-optimized Na4Pr3HfSe8 structure at the PBE-GGA level of DFT.

Cell lengths 8.3804, 8.5560, 8.3801 Å; angles 119.34, 120.00, 90.00 degrees
Sites, in units of the cell vectors:
1 Na 0.5000 0.0000 0.0000
2 Na 0.5000 0.0000 0.5000
3 Na 0.0000 0.0000 0.0000
4 Na 0.0000 0.0000 0.5000
5 Pr 0.5000 0.5000 0.0000
6 Pr 0.5000 0.5000 0.5000
7 Pr 0.0000 0.5000 0.5000
8 Hf 0.0000 0.5000 0.0000
9 Se 0.2305 0.7299 0.9995
10 Se 0.2305 0.7299 0.4611
11 Se 0.2514 0.2542 0.5027
12 Se 0.7690 0.7299 0.9995
13 Se 0.2310 0.2701 0.0005
14 Se 0.7486 0.7458 0.4973
15 Se 0.7695 0.2701 0.5389
16 Se 0.7695 0.2701 0.0005

Total DFT energy (no corrections)   -82.1 eV/cell
DOS at the Fermi energy   4.17 states/eV per cell
Mass density   5.1 g/cm³
E_form (uncorrected)   -1.54 eV per atom
Volume   429.1 Å³ per cell

=====

Record 3
Computed, not measured: a geometry-optimized CeDy5Er12 structure at the PBE-GGA level of DFT.

Cell lengths 10.5516, 10.5481, 6.0959 Å; angles 73.31, 90.00, 59.99 degrees
Each line ends with the local moment (μB).
Sites, in units of the cell vectors:
1 Ce 0.0000 0.0000 0.0000  0.78
2 Dy 0.5000 0.0000 0.5000  -0.01
3 Dy 0.1661 0.6679 0.4968  0.03
4 Dy 0.8339 0.3321 0.5032  0.03
5 Dy 0.6670 0.6662 0.0010  -0.02
6 Dy 0.3330 0.3338 0.9990  -0.02
7 Er 0.8341 0.9999 0.5000  0.05
8 Er 0.1659 0.0001 0.5000  0.05
9 Er 0.6678 0.9999 0.0000  0.03
10 Er 0.3322 0.0001 0.0000  0.03
11 Er 0.3335 0.6668 0.0009  0.02
12 Er 0.9997 0.6668 0.0010  0.02
13 Er 0.0003 0.3332 0.9990  0.02
14 Er 0.6665 0.3332 0.9991  0.02
15 Er 0.4996 0.3335 0.5004  0.00
16 Er 0.8332 0.6665 0.4998  0.00
17 Er 0.1668 0.3335 0.5002  0.00
18 Er 0.5004 0.6665 0.4996  0.00

Total DFT energy (no corrections)   -83.1 eV/cell
DOS at the Fermi energy   27.43 states/eV per cell
Energy relative to the elements   0.58 eV/f.u.
Mass density   8.9 g/cm³
Volume   554.3 Å³ per cell

=====

Record 4
Computed, not measured: a geometry-optimized TaPd2I structure at the PBE-GGA level of DFT.

Cell lengths 6.7466, 6.7466, 6.5366 Å; angles 58.93, 58.93, 90.00 degrees
Sites, in units of the cell vectors:
1 I 0.5000 0.5000 0.0000
2 I 0.2500 0.7500 0.5000
3 Pd 0.6571 0.1250 0.2500
4 Pd 0.0929 0.6250 0.2500
5 Pd 0.3750 0.3429 0.7500
6 Pd 0.8750 0.9071 0.7500
7 Ta 0.0000 0.0000 0.0000
8 Ta 0.7500 0.2500 0.5000

Total DFT energy (no corrections)   -43.6 eV/cell
DOS at the Fermi energy   1.96 states/eV per cell
Mass density   8.5 g/cm³
E_form (uncorrected)   0.49 eV per atom
Offset from the most stable computed form   0.0 meV per atom
Volume   203.4 Å³ per cell

=====

Record 5
Computed, not measured: a geometry-optimized RbNa2CdMo structure at the PBE-GGA level of DFT.

Cell lengths 5.9116, 5.5780, 5.9116 Å; angles 90.00, 90.00, 90.00 degrees
Each line ends with the local moment (μB).
Sites, in units of the cell vectors:
1 Na 0.0000 0.0000 0.5000  -0.02
2 Na 0.5000 0.0000 0.0000  -0.02
3 Mo 0.0000 0.5000 0.0000  3.36
4 Rb 0.5000 0.5000 0.5000  0.01
5 Cd 0.0000 0.0000 0.0000  0.00

Total DFT energy (no corrections)   -11.3 eV/cell
DOS at the Fermi energy   2.29 states/eV per cell
Energy relative to the elements   4.06 eV/f.u.
Mass density   2.9 g/cm³
Volume   194.9 Å³ per cell

=====

Record 6
Computed, not measured: a geometry-optimized AcTmN2 structure at the PBE-GGA level of DFT.

Cell lengths 3.7124, 3.7124, 7.0847 Å; angles 74.81, 74.81, 60.00 degrees
Each line ends with the local moment (μB).
Sites, in units of the cell vectors:
1 Ac 0.0000 0.0000 0.0000  0.11
2 Tm 0.5000 0.5000 0.5000  0.05
3 N 0.1121 0.1121 0.6638  0.24
4 N 0.8879 0.8879 0.3362  0.24

Total DFT energy (no corrections)   -27.6 eV/cell
DOS at the Fermi energy   3.13 states/eV per cell
Mass density   8.7 g/cm³
E_form (uncorrected)   -0.59 eV per atom
Offset from the most stable computed form   491.7 meV per atom
Volume   80.6 Å³ per cell